No. 1
Compound: TaHgI2N
Source: Alexandria
Functional: PBE
Structure: relaxed

The structure in POSCAR format:
```
TaHgI2N
1.0
-2.3885 -4.5676 3.3479
5.6628 -1.8863 1.4666
-0.0390 2.2793 3.0819
I N Hg Ta
2 1 1 1
Direct
0.0000 0.5000 0.0000
0.5000 0.0000 0.0000
0.0000 0.0000 0.5000
0.0000 0.0000 0.0000
0.5000 0.5000 0.5000
```

Output
* raw total energy: -14.79 eV for the cell shown


No. 2
Compound: K2Rb2Sn3
Source: Alexandria
Functional: PBE
Structure: relaxed

The structure in POSCAR format:
```
K2Rb2Sn3
1.0
-3.4425 5.0708 -0.6815
1.1499 -3.7457 -5.7782
-6.2455 -4.0298 1.5645
K Rb Sn
2 2 3
Direct
0.9127 0.8254 0.2833
0.0873 0.1746 0.7167
0.7684 0.5369 0.7802
0.2316 0.4631 0.2198
0.5000 0.0000 0.0000
0.5840 0.1679 0.3627
0.4160 0.8321 0.6373
```

Output
* raw total energy: -17.13 eV for the cell shown
* E_form: -142 meV/atom


No. 3
Compound: Ce2PbF11
Source: Alexandria
Functional: PBE
Structure: relaxed

The structure in POSCAR format:
```
Ce2PbF11
1.0
7.4511 0.0000 3.8838
3.4510 7.6426 2.4687
0.1829 -0.1303 8.7386
Ce Pb F
4 2 22
Direct
0.6459 0.6818 0.3182
0.3541 0.3182 0.6818
0.8541 0.1818 0.8182
0.1459 0.8182 0.1818
0.7500 0.7500 0.7500
0.2500 0.2500 0.2500
0.6431 0.7080 0.5637
0.3569 0.2920 0.4363
0.0852 0.5637 0.7080
0.8569 0.9363 0.7920
0.9148 0.4363 0.2920
0.1431 0.0637 0.2080
0.4148 0.7920 0.9363
0.5852 0.2080 0.0637
0.5000 0.5000 0.5000
0.0000 0.0000 0.0000
0.8739 0.7837 0.2163
0.1261 0.2163 0.7837
0.6261 0.2837 0.7163
0.3739 0.7163 0.2837
0.4549 0.9644 0.3194
0.5451 0.0356 0.6806
0.2613 0.3194 0.9644
0.0451 0.1806 0.5356
0.7387 0.6806 0.0356
0.9549 0.8194 0.4644
0.2387 0.5356 0.1806
0.7613 0.4644 0.8194
```

Output
* raw total energy: -162.20 eV for the cell shown


No. 4
Compound: TiMn2CdH
Source: Alexandria
Functional: PBE
Structure: relaxed

The structure in POSCAR format:
```
TiMn2CdH
1.0
4.0293 0.0000 0.0000
0.0000 4.0293 0.0000
0.0000 0.0000 3.8572
H Mn Ti Cd
1 2 1 1
Direct
0.0000 0.0000 0.0000
0.0000 0.5000 0.0000
0.5000 0.0000 0.0000
0.0000 0.0000 0.5000
0.5000 0.5000 0.5000
```

Output
* raw total energy: -30.25 eV for the cell shown